# 1
Pr2Ni12Ge3Ir after structural relaxation. Source: Alexandria via LeMat-Bulk, functional PBE.

Output
Formation energy ... 219 meV per atom
Uncorrected energy ... -97.711 eV/cell
Mass density ... 7.402 Mg/m³

Cell: 7.4694 7.4694 7.4694 Å, 62.83 62.83 62.83°
With the nearest neighbours (Å) after each atom.
Positions (direct):
1 Pr 0.1058 0.1058 0.1058  6 Ni 2.81-2.94
2 Pr 0.8942 0.8942 0.8942  6 Ni 2.81-2.94
3 Ni 0.1340 0.6329 0.6329  1 Ir 2.32, 4 Ni 2.34-2.54, 1 Ge 2.39
4 Ni 0.1450 0.1450 0.5088  2 Ni 2.34, 2 Ge 2.34
5 Ni 0.1450 0.5088 0.1450  2 Ni 2.34, 2 Ge 2.34
6 Ni 0.3671 0.3671 0.8660  1 Ir 2.32, 4 Ni 2.34-2.54, 1 Ge 2.39
7 Ni 0.3671 0.8660 0.3671  1 Ir 2.32, 4 Ni 2.34-2.54, 1 Ge 2.39
8 Ni 0.4912 0.8550 0.8550  2 Ni 2.34, 2 Ge 2.34
9 Ni 0.5088 0.1450 0.1450  2 Ni 2.34, 2 Ge 2.34
10 Ni 0.6329 0.1340 0.6329  1 Ir 2.32, 4 Ni 2.34-2.54, 1 Ge 2.39
11 Ni 0.6329 0.6329 0.1340  1 Ir 2.32, 4 Ni 2.34-2.54, 1 Ge 2.39
12 Ni 0.8550 0.4912 0.8550  2 Ni 2.34, 2 Ge 2.34
13 Ni 0.8550 0.8550 0.4912  2 Ni 2.34, 2 Ge 2.34
14 Ni 0.8660 0.3671 0.3671  1 Ir 2.32, 4 Ni 2.34-2.54, 1 Ge 2.39
15 Ge 0.0000 0.5000 0.5000  6 Ni 2.34-2.39
16 Ge 0.5000 0.0000 0.5000  6 Ni 2.34-2.39
17 Ge 0.5000 0.5000 0.0000  6 Ni 2.34-2.39
18 Ir 0.5000 0.5000 0.5000  6 Ni 2.32

---

# 2
Pm5Sm4Tm after structural relaxation. Source: Alexandria via LeMat-Bulk, functional PBE.

Output
Formation energy ... 238 meV per atom
Uncorrected energy ... -44.721 eV/cell
Mass density ... 7.211 Mg/m³

Cell: 8.0867 8.0867 8.0867 Å, 98.34 98.34 135.23°
With the nearest neighbours (Å) after each atom.
Positions (direct):
1 Pm 0.0000 0.0000 0.0000  1 Tm 2.88
2 Pm 0.0860 0.0860 0.6228  1 Tm 3.24, 3 Pm 3.29-3.59, 2 Sm 3.30
3 Pm 0.0860 0.4633 0.0000  1 Tm 3.24, 3 Pm 3.29-3.59, 2 Sm 3.30
4 Pm 0.4633 0.0860 0.0000  1 Tm 3.24, 3 Pm 3.29-3.59, 2 Sm 3.30
5 Pm 0.4633 0.4633 0.3772  1 Tm 3.24, 3 Pm 3.29-3.59, 2 Sm 3.30
6 Sm 0.0709 0.7470 0.3239  2 Pm 3.30, 1 Tm 3.67
7 Sm 0.4230 0.7470 0.6761  2 Pm 3.30, 1 Tm 3.67
8 Sm 0.7470 0.0709 0.3239  2 Pm 3.30, 1 Tm 3.67
9 Sm 0.7470 0.4230 0.6761  2 Pm 3.30, 1 Tm 3.67
10 Tm 0.5330 0.5330 0.0000  1 Pm 2.88

---

# 3
HoBePd5 after structural relaxation. Source: Alexandria via LeMat-Bulk, functional PBE.

Output
Formation energy ... -592 meV per atom
Uncorrected energy ... -38.413 eV/cell
Mass density ... 10.450 Mg/m³

Cell: 4.0260 4.0260 6.9221 Å, 90.00 90.00 90.00°
With the nearest neighbours (Å) after each atom.
Positions (direct):
1 Ho 0.0000 0.0000 0.0000  12 Pd 2.85-2.91
2 Be 0.5000 0.5000 0.5000  8 Pd 2.43
3 Pd 0.0000 0.5000 0.3035  2 Be 2.43, 1 Pd 2.72
4 Pd 0.0000 0.5000 0.6965  2 Be 2.43, 1 Pd 2.72
5 Pd 0.5000 0.0000 0.3035  2 Be 2.43, 1 Pd 2.72
6 Pd 0.5000 0.0000 0.6965  2 Be 2.43, 1 Pd 2.72
7 Pd 0.5000 0.5000 0.0000  4 Ho 2.85, 8 Pd 2.91

---

# 4
TbBiBr after structural relaxation. Source: Alexandria via LeMat-Bulk, functional PBE.

Output
Energy relative to the elements, uncorrected ... -0.83 eV per atom
Uncorrected energy ... -12.670 eV/cell
Mass density ... 8.744 Mg/m³

Cell: 5.1490 5.1490 3.7038 Å, 90.00 90.00 120.00°
With the nearest neighbours (Å) after each atom.
Positions (direct):
1 Tb 0.0000 0.0000 0.0000  3 Br 2.97
2 Bi 0.6667 0.3333 0.5000  6 Tb 3.50, 6 Br 3.50, 2 Bi 3.70
3 Br 0.3333 0.6667 0.0000  3 Tb 2.97

---

# 5
SiSb2Ru after structural relaxation. Source: Alexandria via LeMat-Bulk, functional PBE.

Output
Energy relative to the elements, uncorrected ... 0.26 eV per atom
Uncorrected energy ... -21.884 eV/cell
Mass density ... 7.973 Mg/m³

Cell: 3.2394 3.2394 7.3966 Å, 90.00 90.00 90.00°
With the nearest neighbours (Å) after each atom.
Positions (direct):
1 Si 0.0000 0.0000 0.0000  8 Sb 3.06, 4 Si 3.24
2 Sb 0.5000 0.5000 0.2736  4 Ru 2.84, 4 Si 3.06
3 Sb 0.5000 0.5000 0.7264  4 Ru 2.84, 4 Si 3.06
4 Ru 0.0000 0.0000 0.5000  8 Sb 2.84

---

# 6
Ta2MnCuIr after structural relaxation. Source: Alexandria via LeMat-Bulk, functional PBE.

Output
Formation energy ... 1122 meV per atom
Uncorrected energy ... -40.222 eV/cell
Mass density ... 12.552 Mg/m³

Cell: 4.5686 4.5686 4.2630 Å, 90.00 90.00 90.00°
With the nearest neighbours (Å) after each atom.
Positions (direct):
1 Ta 0.0000 0.5000 0.0000  2 Cu 2.28
2 Ta 0.5000 0.0000 0.0000  2 Cu 2.28
3 Mn 0.0000 0.0000 0.5000  2 Cu 2.13
4 Cu 0.0000 0.0000 0.0000  2 Mn 2.13, 4 Ta 2.28
5 Ir 0.5000 0.5000 0.5000  8 Ta 3.12, 4 Mn 3.23

---

# 7
CeBRu2C after structural relaxation. Source: Alexandria via LeMat-Bulk, functional PBE.

Output
Formation energy ... -253 meV per atom
Uncorrected energy ... -83.301 eV/cell
Mass density ... 8.701 Mg/m³

Cell: 5.7224 5.7224 7.0603 Å, 90.00 90.00 142.94°
With the nearest neighbours (Å) after each atom.
Positions (direct):
1 Ce 0.0517 0.9483 0.7500  4 C 2.60
2 Ce 0.9483 0.0517 0.2500  4 C 2.60
3 B 0.2260 0.7740 0.2500  6 Ru 2.31-2.49
4 B 0.7740 0.2260 0.7500  6 Ru 2.31-2.49
5 Ru 0.3284 0.6716 0.5653  1 C 1.92
6 Ru 0.3284 0.6716 0.9347  1 C 1.92
7 Ru 0.6716 0.3284 0.0653  1 C 1.92
8 Ru 0.6716 0.3284 0.4347  1 C 1.92
9 C 0.5000 0.5000 0.0000  2 Ru 1.92
10 C 0.5000 0.5000 0.5000  2 Ru 1.92

---

# 8
Mn2BeAs after structural relaxation. Source: Alexandria via LeMat-Bulk, functional PBE.

Output
Formation energy ... 294 meV per atom
Uncorrected energy ... -25.538 eV/cell
Mass density ... 6.700 Mg/m³

Cell: 7.8455 7.8455 7.8455 Å, 19.71 19.71 19.71°
With the nearest neighbours (Å) after each atom.
Positions (direct):
1 Mn 0.0000 0.0000 0.0000  3 Be 2.34, 3 Mn 2.40
2 Mn 0.2542 0.2542 0.2542  3 Mn 2.40, 3 As 2.49
3 Be 0.7428 0.7428 0.7428  3 Mn 2.34
4 As 0.5033 0.5033 0.5033  3 Mn 2.49, 3 Be 2.66, 6 As 2.69

---

# 9
Tb2HoPt9 after structural relaxation. Source: Alexandria via LeMat-Bulk, functional PBE.

Output
Formation energy ... -1031 meV per atom
Uncorrected energy ... -80.572 eV/cell
Mass density ... 17.686 Mg/m³

Cell: 4.1225 4.1225 12.3672 Å, 90.00 90.00 90.00°
With the nearest neighbours (Å) after each atom.
Positions (direct):
1 Tb 0.0000 0.0000 0.1671  12 Pt 2.92
2 Tb 0.0000 0.0000 0.8329  12 Pt 2.92
3 Ho 0.0000 0.0000 0.5000  12 Pt 2.90-2.92
4 Pt 0.0000 0.5000 0.0000  8 Pt 2.92, 4 Tb 2.92
5 Pt 0.0000 0.5000 0.3347  2 Ho 2.90, 8 Pt 2.90-2.92, 2 Tb 2.92
6 Pt 0.0000 0.5000 0.6653  2 Ho 2.90, 8 Pt 2.90-2.92, 2 Tb 2.92
7 Pt 0.5000 0.0000 0.0000  8 Pt 2.92, 4 Tb 2.92
8 Pt 0.5000 0.0000 0.3347  2 Ho 2.90, 8 Pt 2.90-2.92, 2 Tb 2.92
9 Pt 0.5000 0.0000 0.6653  2 Ho 2.90, 8 Pt 2.90-2.92, 2 Tb 2.92
10 Pt 0.5000 0.5000 0.1673  4 Tb 2.92, 8 Pt 2.92
11 Pt 0.5000 0.5000 0.5000  8 Pt 2.90, 4 Ho 2.92
12 Pt 0.5000 0.5000 0.8327  4 Tb 2.92, 8 Pt 2.92

---

# 10
TmSiRh after structural relaxation. Source: Alexandria via LeMat-Bulk, functional PBE.

Output
Energy relative to the elements, uncorrected ... -0.73 eV per atom
Uncorrected energy ... -38.895 eV/cell
Mass density ... 8.912 Mg/m³

Cell: 5.1387 4.2945 5.5808 Å, 90.00 114.83 90.00°
With the nearest neighbours (Å) after each atom.
Positions (direct):
1 Tm 0.2323 0.2500 0.4385  4 Si 2.82-2.88, 2 Rh 2.83-3.01
2 Tm 0.7677 0.7500 0.5615  4 Si 2.82-2.88, 2 Rh 2.83-3.01
3 Si 0.1090 0.2500 0.8860  4 Rh 2.42-2.69
4 Si 0.8910 0.7500 0.1140  4 Rh 2.42-2.69
5 Rh 0.3380 0.7500 0.0363  4 Si 2.42-2.69
6 Rh 0.6620 0.2500 0.9637  4 Si 2.42-2.69

---

# 11
PaTlAg4 after structural relaxation. Source: Alexandria via LeMat-Bulk, functional PBE.

Output
Formation energy ... 175 meV per atom
Uncorrected energy ... -22.216 eV/cell
Mass density ... 11.218 Mg/m³

Cell: 5.6616 5.6616 5.6616 Å, 60.00 60.00 60.00°
With the nearest neighbours (Å) after each atom.
Positions (direct):
1 Pa 0.0000 0.0000 0.0000  12 Ag 3.32, 4 Tl 3.47
2 Tl 0.7500 0.7500 0.7500  12 Ag 3.32, 4 Pa 3.47
3 Ag 0.3750 0.3750 0.3750  6 Ag 2.83
4 Ag 0.3750 0.3750 0.8751  6 Ag 2.83
5 Ag 0.3750 0.8751 0.3750  6 Ag 2.83
6 Ag 0.8751 0.3750 0.3750  6 Ag 2.83

---

Question: Which of these has the lowest uncorrected energy?
Answer: Pr2Ni12Ge3Ir